# 1
The following is a PBE-GGA calculation of Pm4InSn4 after structural relaxation, from the Alexandria database.

Values from the calculation:
Calculated volume = 30.348 Å³/atom
Final energy = -0.1712 Ha/atom
DOS at the Fermi energy = 5.3 states/eV/f.u.
Theoretical density = 7.11 Mg/m³
Energy of formation = -0.464 eV per atom

Unit cell a=9.125 b=9.125 c=6.561 alpha=90.00 beta=90.00 gamma=90.00
Space group P4_2/n (No. 86, origin choice 2)
Asymmetric unit:
Pm: 0.010 0.683 0.091 (multiplicity 8)
In: 0.250 0.250 0.250 (multiplicity 2)
Sn: 0.017 0.664 0.574 (multiplicity 8)



# 2
The following is a PBE-GGA calculation of Pm12InSn7 after structural relaxation, from the Alexandria database.

Values from the calculation:
Calculated volume = 30.948 Å³/atom
Final energy = -0.1788 Ha/atom
DOS at the Fermi energy = 21.8 states/eV/f.u.
Theoretical density = 7.21 Mg/m³
Energy of formation = -0.478 eV per atom

Unit cell a=14.7381 b=14.7381 c=9.8711 alpha=90.00 beta=90.00 gamma=120.00
Space group R-3 (No. 148, hexagonal axes)
Asymmetric unit:
Pm: 0.0399 0.2492 0.0793 (multiplicity 18)
Pm: 0.0428 0.1795 0.7076 (multiplicity 18)
In: 0.0000 0.0000 0.5000 (multiplicity 3)
Sn: 0.0000 0.0000 0.0000 (multiplicity 3)
Sn: 0.0668 0.4725 0.0758 (multiplicity 18)



# 3
The following is a PBE-GGA calculation of Pm2InSn4 after structural relaxation, from the Alexandria database.

Values from the calculation:
Calculated volume = 28.920 Å³/atom
Excess energy over the best structure of this formula in the dataset = 0.000 eV per atom
Final energy = -0.1653 Ha/atom
DOS at the Fermi energy = 3.6 states/eV/f.u.
Theoretical density = 7.22 Mg/m³
Energy of formation = -0.462 eV per atom

Unit cell a=9.238 b=9.350 c=9.375 alpha=90.00 beta=90.00 gamma=90.00
Space group Fmmm (No. 69)
Asymmetric unit:
Pm: 0.250 0.000 0.250 (multiplicity 8)
In: 0.000 0.000 0.000 (multiplicity 4)
Sn: 0.000 0.250 0.250 (multiplicity 8)
Sn: 0.250 0.250 0.000 (multiplicity 8)



# 4
The following is a PBE-GGA calculation of PmInSn2 after structural relaxation, from the Alexandria database.

Values from the calculation:
Calculated volume = 27.322 Å³/atom
Final energy = -0.1555 Ha/atom
DOS at the Fermi energy = 3.0 states/eV/f.u.
Theoretical density = 7.56 Mg/m³
Energy of formation = -0.359 eV per atom

Unit cell a=4.028 b=4.028 c=6.734 alpha=90.00 beta=90.00 gamma=90.00
Space group P4/mmm (No. 123)
Asymmetric unit:
Pm: 0.000 0.000 0.000 (multiplicity 1)
In: 0.000 0.000 0.500 (multiplicity 1)
Sn: 0.500 0.500 0.270 (multiplicity 2)



# 5
The following is a PBE-GGA calculation of PmIn3Sn after structural relaxation, from the Alexandria database.

Values from the calculation:
Calculated volume = 27.927 Å³/atom
Final energy = -0.1310 Ha/atom
DOS at the Fermi energy = 2.5 states/eV/f.u.
Theoretical density = 7.23 Mg/m³
Energy of formation = -0.170 eV per atom

Unit cell a=5.207 b=7.358 c=7.289 alpha=90.00 beta=90.00 gamma=90.00
Space group Pmmn (No. 59, origin choice 2)
Asymmetric unit:
Pm: 0.250 0.250 0.216 (multiplicity 2)
In: 0.250 0.053 0.742 (multiplicity 4)
In: 0.250 0.750 0.468 (multiplicity 2)
Sn: 0.250 0.750 0.068 (multiplicity 2)



# 6
The following is a PBE-GGA calculation of Pm5InSn4 after structural relaxation, from the Alexandria database.

Values from the calculation:
Calculated volume = 28.120 Å³/atom
Final energy = -0.1796 Ha/atom
DOS at the Fermi energy = 8.4 states/eV/f.u.
Theoretical density = 7.76 Mg/m³
Energy of formation = -0.636 eV per atom

Unit cell a=3.527 b=3.527 c=22.600 alpha=90.00 beta=90.00 gamma=90.00
Space group P4/mmm (No. 123)
Asymmetric unit:
Pm: 0.000 0.000 0.000 (multiplicity 1)
Pm: 0.000 0.000 0.201 (multiplicity 2)
Pm: 0.000 0.000 0.400 (multiplicity 2)
In: 0.500 0.500 0.500 (multiplicity 1)
Sn: 0.500 0.500 0.100 (multiplicity 2)
Sn: 0.500 0.500 0.300 (multiplicity 2)



# 7
The following is a PBE-GGA calculation of PmInSn after structural relaxation, from the Alexandria database.

Values from the calculation:
Calculated volume = 28.025 Å³/atom
Excess energy over the best structure of this formula in the dataset = 0.084 eV per atom
Final energy = -0.1554 Ha/atom
DOS at the Fermi energy = 1.4 states/eV/f.u.
Theoretical density = 7.48 Mg/m³
Energy of formation = -0.399 eV per atom

Unit cell a=6.060 b=8.598 c=6.455 alpha=90.00 beta=90.00 gamma=90.00
Space group Cmcm (No. 63)
Asymmetric unit:
Pm: 0.000 0.174 0.250 (multiplicity 4)
In: 0.000 0.192 0.750 (multiplicity 4)
Sn: 0.000 0.500 0.000 (multiplicity 4)



# 8
The following is a PBE-GGA calculation of Pm2In2Sn after structural relaxation, from the Alexandria database.

Values from the calculation:
Calculated volume = 30.416 Å³/atom
Final energy = -0.1497 Ha/atom
DOS at the Fermi energy = 5.1 states/eV/f.u.
Theoretical density = 6.97 Mg/m³
Energy of formation = -0.276 eV per atom

Unit cell a=4.066 b=4.066 c=18.394 alpha=90.00 beta=90.00 gamma=90.00
Space group I4/mmm (No. 139)
Asymmetric unit:
Pm: 0.000 0.000 0.098 (multiplicity 4)
In: 0.000 0.500 0.250 (multiplicity 4)
Sn: 0.000 0.000 0.500 (multiplicity 2)



# 9
The following is a PBE-GGA calculation of Pm3InSn2 after structural relaxation, from the Alexandria database.

Values from the calculation:
Calculated volume = 29.840 Å³/atom
Excess energy over the best structure of this formula in the dataset = 0.000 eV per atom
Final energy = -0.1757 Ha/atom
DOS at the Fermi energy = 3.7 states/eV/f.u.
Theoretical density = 7.30 Mg/m³
Energy of formation = -0.614 eV per atom

Unit cell a=12.716 b=4.667 c=12.068 alpha=90.00 beta=90.00 gamma=90.00
Space group Pnma (No. 62)
Asymmetric unit:
Pm: 0.043 0.250 0.122 (multiplicity 4)
Pm: 0.133 0.750 0.571 (multiplicity 4)
Pm: 0.206 0.250 0.809 (multiplicity 4)
In: 0.138 0.250 0.367 (multiplicity 4)
Sn: 0.008 0.750 0.317 (multiplicity 4)
Sn: 0.184 0.750 0.021 (multiplicity 4)



# 10
The following is a PBE-GGA calculation of Pm9In2Sn after structural relaxation, from the Alexandria database.

Values from the calculation:
Calculated volume = 30.218 Å³/atom
Final energy = -0.1723 Ha/atom
DOS at the Fermi energy = 20.8 states/eV/f.u.
Theoretical density = 7.57 Mg/m³
Energy of formation = -0.336 eV per atom

Unit cell a=4.946 b=4.946 c=14.822 alpha=90.00 beta=90.00 gamma=90.00
Space group P4/mmm (No. 123)
Asymmetric unit:
Pm: 0.000 0.000 0.000 (multiplicity 1)
Pm: 0.000 0.000 0.333 (multiplicity 2)
Pm: 0.000 0.500 0.164 (multiplicity 4)
Pm: 0.000 0.500 0.500 (multiplicity 2)
In: 0.500 0.500 0.333 (multiplicity 2)
Sn: 0.500 0.500 0.000 (multiplicity 1)



# 11
The following is a PBE-GGA calculation of Pm6InSn after structural relaxation, from the Alexandria database.

Values from the calculation:
Calculated volume = 30.092 Å³/atom
Final energy = -0.1754 Ha/atom
DOS at the Fermi energy = 12.0 states/eV/f.u.
Theoretical density = 7.61 Mg/m³
Energy of formation = -0.368 eV per atom

Unit cell a=4.941 b=4.941 c=9.862 alpha=90.00 beta=90.00 gamma=90.00
Space group P4/mmm (No. 123)
Asymmetric unit:
Pm: 0.000 0.000 0.000 (multiplicity 1)
Pm: 0.000 0.000 0.500 (multiplicity 1)
Pm: 0.000 0.500 0.248 (multiplicity 4)
In: 0.500 0.500 0.500 (multiplicity 1)
Sn: 0.500 0.500 0.000 (multiplicity 1)



# 12
The following is a PBE-GGA calculation of Pm6InSn5 after structural relaxation, from the Alexandria database.

Values from the calculation:
Calculated volume = 28.158 Å³/atom
Final energy = -0.1807 Ha/atom
DOS at the Fermi energy = 9.9 states/eV/f.u.
Theoretical density = 7.76 Mg/m³
Energy of formation = -0.646 eV per atom

Unit cell a=10.274 b=15.100 c=4.975 alpha=90.00 beta=118.88 gamma=90.00
Space group C2/m (No. 12)
Asymmetric unit:
Pm: 0.247 0.000 0.246 (multiplicity 4)
Pm: 0.249 0.168 0.748 (multiplicity 8)
In: 0.000 0.500 0.000 (multiplicity 2)
Sn: 0.000 0.000 0.500 (multiplicity 2)
Sn: 0.000 0.168 0.000 (multiplicity 4)
Sn: 0.000 0.338 0.500 (multiplicity 4)